No. 1
This record from Alexandria via LeMat-Bulk describes a relaxed structure of ZnFeSb. The functional is PBE.

Summary:
Raw formation energy in meV/atom: 388

Geometry as CIF:
```
data_ZnFeSb
_cell_length_a 4.250
_cell_length_b 4.250
_cell_length_c 3.405
_cell_angle_alpha 90.00
_cell_angle_beta 90.00
_cell_angle_gamma 120.00
_symmetry_space_group_name_H-M 'P 1'
_symmetry_Int_Tables_number 1
_symmetry_space_group_name_Hall 'P 1'
loop_
_atom_site_label
_atom_site_type_symbol
_atom_site_fract_x
_atom_site_fract_y
_atom_site_fract_z
Fe1 Fe 0.000 0.000 0.831
Sb1 Sb 0.333 0.667 0.334
Zn1 Zn 0.667 0.333 0.835
```



No. 2
This record from Alexandria via LeMat-Bulk describes a relaxed structure of CaCeAgPd. The functional is PBE.

Summary:
Calculated formation energy in meV per atom: -396.4

Geometry as CIF:
```
data_CaCeAgPd
_cell_length_a 5.146
_cell_length_b 5.146
_cell_length_c 5.146
_cell_angle_alpha 60.00
_cell_angle_beta 60.00
_cell_angle_gamma 60.00
_symmetry_space_group_name_H-M 'P 1'
_symmetry_Int_Tables_number 1
_symmetry_space_group_name_Hall 'P 1'
loop_
_atom_site_label
_atom_site_type_symbol
_atom_site_fract_x
_atom_site_fract_y
_atom_site_fract_z
Ca1 Ca 0.750 0.750 0.750
Ce1 Ce 0.250 0.250 0.250
Pd1 Pd 0.000 0.000 0.000
Ag1 Ag 0.500 0.500 0.500
```



No. 3
This record from Alexandria via LeMat-Bulk describes a relaxed structure of BiS4. The functional is PBE.

Summary:
Raw formation energy in meV/atom: 141

Geometry as CIF:
```
data_BiS4
_cell_length_a 3.639
_cell_length_b 3.975
_cell_length_c 10.864
_cell_angle_alpha 75.37
_cell_angle_beta 90.00
_cell_angle_gamma 117.24
_symmetry_space_group_name_H-M 'P 1'
_symmetry_Int_Tables_number 1
_symmetry_space_group_name_Hall 'P 1'
loop_
_atom_site_label
_atom_site_type_symbol
_atom_site_fract_x
_atom_site_fract_y
_atom_site_fract_z
S1 S 0.605 0.210 0.156
S2 S 0.395 0.790 0.844
S3 S 0.222 0.445 0.553
S4 S 0.778 0.555 0.447
Bi1 Bi 0.000 0.000 0.000
```



No. 4
This record from Alexandria via LeMat-Bulk describes a relaxed structure of Nd2Ho6Er3Zr. The functional is PBE.

Summary:
Calculated formation energy in meV per atom: 53.4

Geometry as CIF:
```
data_Nd2Ho6Er3Zr
_cell_length_a 6.083
_cell_length_b 6.083
_cell_length_c 11.638
_cell_angle_alpha 94.98
_cell_angle_beta 94.98
_cell_angle_gamma 119.92
_symmetry_space_group_name_H-M 'P 1'
_symmetry_Int_Tables_number 1
_symmetry_space_group_name_Hall 'P 1'
loop_
_atom_site_label
_atom_site_type_symbol
_atom_site_fract_x
_atom_site_fract_y
_atom_site_fract_z
Ho1 Ho 0.083 0.410 0.248
Ho2 Ho 0.917 0.590 0.752
Ho3 Ho 0.590 0.917 0.752
Ho4 Ho 0.410 0.083 0.248
Ho5 Ho 0.757 0.757 0.248
Ho6 Ho 0.243 0.243 0.752
Er1 Er 0.500 0.500 0.500
Er2 Er 0.166 0.834 0.500
Er3 Er 0.834 0.166 0.500
Zr1 Zr 0.000 0.000 0.000
Nd1 Nd 0.667 0.333 0.000
Nd2 Nd 0.333 0.667 0.000
```



Please write out number 3 again, unchanged.
This record from Alexandria via LeMat-Bulk describes a relaxed structure of BiS4. The functional is PBE.

Summary:
Raw formation energy in meV/atom: 141

Geometry as CIF:
```
data_BiS4
_cell_length_a 3.639
_cell_length_b 3.975
_cell_length_c 10.864
_cell_angle_alpha 75.37
_cell_angle_beta 90.00
_cell_angle_gamma 117.24
_symmetry_space_group_name_H-M 'P 1'
_symmetry_Int_Tables_number 1
_symmetry_space_group_name_Hall 'P 1'
loop_
_atom_site_label
_atom_site_type_symbol
_atom_site_fract_x
_atom_site_fract_y
_atom_site_fract_z
S1 S 0.605 0.210 0.156
S2 S 0.395 0.790 0.844
S3 S 0.222 0.445 0.553
S4 S 0.778 0.555 0.447
Bi1 Bi 0.000 0.000 0.000
```